Record 1
Below is a geometry-optimized TmCuSnTe2S structure, with properties calculated at the PBE-GGA level.

Lattice parameters (Å, degrees): 7.4392 7.4392 10.1874 90.00 90.00 147.66
Closest atoms and distances in Å follow each position.
Atoms (fractional coordinates):
Tm1 0.0000 0.0000 0.0000  2 S 2.72, 4 Te 3.03
Tm2 0.0000 0.0000 0.5000  2 S 2.72, 4 Te 3.03
Cu1 0.4829 0.5171 0.7500  2 S 2.40, 2 Te 2.67
Cu2 0.5171 0.4829 0.2500  2 S 2.40, 2 Te 2.67
Sn1 0.2727 0.7273 0.2500  2 S 3.08, 6 Te 3.33-3.39
Sn2 0.7273 0.2727 0.7500  2 S 3.08, 6 Te 3.33-3.39
Te1 0.3517 0.6483 0.5634  1 Cu 2.67
Te2 0.3517 0.6483 0.9366  1 Cu 2.67
Te3 0.6483 0.3517 0.0635  1 Cu 2.67
Te4 0.6483 0.3517 0.4366  1 Cu 2.67
S1 0.0675 0.9325 0.7500  2 Cu 2.40
S2 0.9325 0.0675 0.2500  2 Cu 2.40

***

Record 2
Below is a geometry-optimized Sr2ZnSe structure, with properties calculated at the PBE-GGA level.

## Properties
- Energy relative to the lowest polymorph listed for this composition: 0.0012 eV per atom

Lattice parameters (Å, degrees): 4.4460 13.1074 4.4454 90.00 90.00 90.00
Closest atoms and distances in Å follow each position.
Atoms (fractional coordinates):
Sr1 0.0000 0.1219 0.0000  5 Se 3.13-3.14
Sr2 0.0000 0.6467 0.0016  1 Se 3.10, 5 Zn 3.14-3.22
Sr3 0.5000 0.3533 0.5016  1 Se 3.10, 5 Zn 3.14-3.22
Sr4 0.5000 0.8781 0.5000  5 Se 3.13-3.14
Zn1 0.0000 0.4070 0.0017  5 Sr 3.14-3.22
Zn2 0.5000 0.5930 0.5017  5 Sr 3.14-3.22
Se1 0.0000 0.8833 0.0000  6 Sr 3.10-3.14
Se2 0.5000 0.1167 0.5000  6 Sr 3.10-3.14

***

Calculated calculated total energy (eV per atom), listed in the same order as above: -4.53, -3.04